No. 1
An optimized crystal structure of CaAg2Cl. Source: the Alexandria database, functional PBE.

## Properties
E	-2.867	eV/atom
formation energy (no corrections)	-0.4798	eV per atom

The structure in CIF format:
```
data_CaAg2Cl
_symmetry_space_group_name_H-M 'P m m m'
_symmetry_Int_Tables_number 47
_cell_length_a 4.298
_cell_length_b 4.310
_cell_length_c 5.439
_cell_angle_alpha 90.00
_cell_angle_beta 90.00
_cell_angle_gamma 90.00
loop_
_symmetry_equiv_pos_as_xyz
'x,y,z'
'-x,-y,-z'
'-x,-y,z'
'x,y,-z'
'x,-y,-z'
'-x,y,z'
'-x,y,-z'
'x,-y,z'
loop_
_atom_site_label
_atom_site_type_symbol
_atom_site_fract_x
_atom_site_fract_y
_atom_site_fract_z
Ca1 Ca 0.000 0.000 0.000
Ag1 Ag 0.500 0.500 0.247
Cl1 Cl 0.000 0.000 0.500
```

---

No. 2
An optimized crystal structure of GaSCl3. Source: the Alexandria database, functional PBE.

## Properties
E	-2.660	eV/atom
formation energy (no corrections)	-0.1214	eV per atom

The structure in CIF format:
```
data_GaSCl3
_symmetry_space_group_name_H-M 'P m -3 m'
_symmetry_Int_Tables_number 221
_symmetry_space_group_name_Hall '-P 4 2 3'
_cell_length_a 4.985
_cell_length_b 4.985
_cell_length_c 4.985
_cell_angle_alpha 90.00
_cell_angle_beta 90.00
_cell_angle_gamma 90.00
loop_
_atom_site_label
_atom_site_type_symbol
_atom_site_fract_x
_atom_site_fract_y
_atom_site_fract_z
Ga1 Ga 0.000 0.000 0.000
S1 S 0.500 0.500 0.500
Cl1 Cl 0.000 0.500 0.500
```

---

No. 3
An optimized crystal structure of TePbI2N. Source: the Alexandria database, functional PBE.

## Properties
E	-2.519	eV/atom
formation energy (no corrections)	1.1360	eV per atom

The structure in CIF format:
```
data_TePbI2N
_symmetry_space_group_name_H-M 'P 4/m m m'
_symmetry_Int_Tables_number 123
_symmetry_space_group_name_Hall '-P 4 2'
_cell_length_a 6.647
_cell_length_b 6.647
_cell_length_c 6.690
_cell_angle_alpha 90.00
_cell_angle_beta 90.00
_cell_angle_gamma 90.00
loop_
_atom_site_label
_atom_site_type_symbol
_atom_site_fract_x
_atom_site_fract_y
_atom_site_fract_z
Te1 Te 0.000 0.000 0.000
Pb1 Pb 0.000 0.000 0.500
I1 I 0.000 0.500 0.500
N1 N 0.500 0.500 0.000
```

---

No. 4
An optimized crystal structure of ZrTaIn2. Source: the Alexandria database, functional PBE.

## Properties
E	-6.419	eV/atom
ΔH_f (0 K)	4.9	kJ/mol of atoms

The structure in CIF format:
```
data_ZrTaIn2
_symmetry_space_group_name_H-M 'P 1 m 1'
_symmetry_Int_Tables_number 6
_cell_length_a 3.067
_cell_length_b 5.059
_cell_length_c 5.438
_cell_angle_alpha 90.00
_cell_angle_beta 93.87
_cell_angle_gamma 90.00
loop_
_symmetry_equiv_pos_as_xyz
'x,y,z'
'x,-y,z'
loop_
_atom_site_label
_atom_site_type_symbol
_atom_site_fract_x
_atom_site_fract_y
_atom_site_fract_z
Zr1 Zr 0.000 0.000 0.000
Ta1 Ta 0.139 0.500 0.701
In1 In 0.543 0.000 0.512
In2 In 0.567 0.500 0.193
```